No. 1
Y2AgTe | PBE | relaxed

```
Y2AgTe
1.0
-0.1730 -1.2423 3.9761
2.6746 -2.8776 1.3960
5.6840 4.0531 3.7046
Ag Y Te
1 2 1
direct
0.2500 0.2500 0.2500 Ag
0.9968 0.9968 0.0098 Y
0.5032 0.5032 0.4902 Y
0.7500 0.7500 0.7500 Te
```

## Properties
- SG = No. 12

***

No. 2
Y2AgTe2 | PBE | relaxed

```
Y2AgTe2
1.0
8.2761 0.0000 0.0000
0.0000 8.2761 0.0000
0.0000 0.0000 4.0503
Y Te Ag
4 4 2
direct
0.8503 0.6497 0.0000 Y
0.3503 0.8503 0.0000 Y
0.1497 0.3503 0.0000 Y
0.6497 0.1497 0.0000 Y
0.6507 0.8493 0.5000 Te
0.1507 0.6507 0.5000 Te
0.8493 0.3493 0.5000 Te
0.3493 0.1507 0.5000 Te
0.0000 0.0000 0.0000 Ag
0.5000 0.5000 0.0000 Ag
```

## Properties
- ΔE to the lowest computed polymorph (meV/atom) = 0
- SG = No. 127

***

No. 3
Y2AgTe | PBE | relaxed

```
Y2AgTe
1.0
-0.7809 4.0967 -0.5548
-1.2556 1.4119 -3.7591
-7.8092 0.7440 0.5335
Y Ag Te
2 1 1
direct
0.2564 0.2564 0.2309 Y
0.0772 0.0772 0.7683 Y
0.6674 0.6674 0.9979 Ag
0.4990 0.4990 0.5029 Te
```

## Properties
- SG = No. 160

***

No. 4
Y2AgTe | PBE | relaxed

```
Y2AgTe
1.0
-4.0181 1.0442 1.1108
-0.4856 -3.8448 1.8577
2.0692 2.3072 5.3160
Y Ag Te
2 1 1
direct
0.5000 0.5000 0.3750 Y
0.0000 0.0000 0.8748 Y
0.0000 0.0000 0.3751 Ag
0.5000 0.5000 0.8750 Te
```

## Properties
- SG = No. 123

***

No. 5
Y4AgTe | PBE | relaxed

```
Y4AgTe
1.0
0.0000 4.4865 4.4865
4.4865 0.0000 4.4865
4.4865 4.4865 0.0000
Y Ag Te
4 1 1
direct
0.3751 0.3751 0.8746 Y
0.8746 0.3751 0.3751 Y
0.3751 0.3751 0.3751 Y
0.3751 0.8746 0.3751 Y
0.7500 0.7500 0.7500 Ag
0.0000 0.0000 0.0000 Te
```

## Properties
- ΔE to the lowest computed polymorph (meV/atom) = 782
- SG = No. 216

***

No. 6
Y4AgTe | PBE | relaxed

```
Y4AgTe
1.0
3.9774 0.0000 0.0000
0.0000 8.4667 0.0000
0.0000 0.0000 19.8761
Y Te Ag
16 4 4
direct
0.7500 0.3417 0.8443 Y
0.2500 0.1583 0.3443 Y
0.2500 0.5182 0.7175 Y
0.7500 0.9818 0.2175 Y
0.2500 0.0232 0.0724 Y
0.2500 0.1219 0.5614 Y
0.7500 0.8781 0.4386 Y
0.7500 0.4818 0.2825 Y
0.7500 0.4768 0.5724 Y
0.7500 0.8417 0.6557 Y
0.2500 0.6219 0.9386 Y
0.7500 0.3781 0.0614 Y
0.2500 0.5232 0.4276 Y
0.7500 0.9768 0.9276 Y
0.2500 0.6583 0.1557 Y
0.2500 0.0182 0.7825 Y
0.7500 0.2187 0.6880 Te
0.2500 0.2813 0.1880 Te
0.2500 0.7813 0.3120 Te
0.7500 0.7187 0.8120 Te
0.7500 0.7529 0.0499 Ag
0.2500 0.2471 0.9501 Ag
0.7500 0.2529 0.4501 Ag
0.2500 0.7471 0.5499 Ag
```

## Properties
- ΔE to the lowest computed polymorph (meV/atom) = 0
- SG = No. 62

***

No. 7
Y2AgTe | PBE | relaxed

```
Y2AgTe
1.0
-0.8204 -0.7883 -3.6814
3.0650 -2.3026 -0.1900
-0.8694 -7.7088 1.8445
Y Te Ag
2 1 1
direct
0.0000 0.9942 0.0059 Y
0.0000 0.5058 0.4941 Y
0.5000 0.7500 0.7500 Te
0.5000 0.2500 0.2500 Ag
```

## Properties
- SG = No. 47

***

No. 8
Y2AgTe | PBE | relaxed

```
Y2AgTe
1.0
-3.5176 -6.2583 -5.3463
-0.0159 -7.9138 -4.1827
-3.2596 -8.1447 -1.7781
Te Ag Y
1 1 2
direct
0.7567 0.7567 0.7567 Te
0.4939 0.4939 0.4939 Ag
0.0145 0.0145 0.0145 Y
0.2350 0.2350 0.2350 Y
```

## Properties
- SG = No. 160

***

Short version: calculated volume = 113.41, 277.42, 114.63, 113.65, 180.62, 669.34, 103.37, 122.41 Å³ per cell, in the order given.
Short version: E_form (uncorrected) = -0.74, -0.92, -0.71, -0.70, 0.24, -0.54, -0.69, -0.30 eV per atom, in the order given.